A geometry-optimized Li2SnHRh structure, computed with PBE.

**Excess energy over the best structure of this formula in the dataset**: 152 meV/atom
**Crystal system**: tetragonal

a = 3.809 Å, b = 3.809 Å, c = 4.568 Å
α = 90.00°, β = 90.00°, γ = 90.00°
Space group P4/mmm (No. 123)
One atom of each set of equivalent atoms:
Li (0.000, 0.500, 0.000) (multiplicity 2)
Sn (0.000, 0.000, 0.500) (multiplicity 1)
H (0.000, 0.000, 0.000) (multiplicity 1)
Rh (0.500, 0.500, 0.500) (multiplicity 1)



A geometry-optimized Nd2HoBi structure, computed with PBE.

**ΔE_f**: 6 meV per atom
**Excess energy over the best structure of this formula in the dataset**: 400 meV/atom
**Crystal system**: trigonal

a = 3.5821 Å, b = 3.5821 Å, c = 37.1263 Å
α = 90.00°, β = 90.00°, γ = 120.00°
Space group R-3m (No. 166, hexagonal axes)
One atom of each set of equivalent atoms:
Nd (0.0000, 0.0000, 0.0877) (multiplicity 6)
Ho (0.0000, 0.0000, 0.5000) (multiplicity 3)
Bi (0.0000, 0.0000, 0.0000) (multiplicity 3)



A geometry-optimized KCoP structure, computed with PBE.

**ΔE_f**: -177 meV per atom
**Crystal system**: hexagonal

a = 3.7466 Å, b = 3.7466 Å, c = 5.3641 Å
α = 90.00°, β = 90.00°, γ = 120.00°
Space group P-6m2 (No. 187)
One atom of each set of equivalent atoms:
K (0.0000, 0.0000, 0.0000) (multiplicity 1)
Co (0.6667, 0.3333, 0.5000) (multiplicity 1)
P (0.3333, 0.6667, 0.5000) (multiplicity 1)



A geometry-optimized Na3Pr2SbTe6 structure, computed with PBE.

**Energy relative to the elements, uncorrected**: -1.03 eV per atom
**Crystal system**: monoclinic

a = 7.881 Å, b = 13.651 Å, c = 7.987 Å
α = 90.00°, β = 109.19°, γ = 90.00°
Space group C2/m (No. 12)
One atom of each set of equivalent atoms:
Na (0.000, 0.000, 0.000) (multiplicity 2)
Na (0.000, 0.335, 0.000) (multiplicity 4)
Pr (0.000, 0.167, 0.500) (multiplicity 4)
Sb (0.000, 0.500, 0.500) (multiplicity 2)
Te (0.240, 0.339, 0.737) (multiplicity 8)
Te (0.244, 0.500, 0.265) (multiplicity 4)



A geometry-optimized AlCdW2 structure, computed with PBE.

**ΔE_f**: 442 meV per atom
**Excess energy over the best structure of this formula in the dataset**: 191 meV/atom
**Crystal system**: orthorhombic

a = 5.505 Å, b = 8.847 Å, c = 2.748 Å
α = 90.00°, β = 90.00°, γ = 90.00°
Space group Cmmm (No. 65)
One atom of each set of equivalent atoms:
Al (0.000, 0.000, 0.000) (multiplicity 2)
Cd (0.000, 0.500, 0.000) (multiplicity 2)
W (0.250, 0.250, 0.500) (multiplicity 4)



A geometry-optimized Pr4Er3In4 structure, computed with PBE.

**ΔE_f**: -311 meV per atom
**Crystal system**: orthorhombic

a = 3.605 Å, b = 9.486 Å, c = 19.595 Å
α = 90.00°, β = 90.00°, γ = 90.00°
Space group Immm (No. 71)
One atom of each set of equivalent atoms:
Pr (0.000, 0.174, 0.162) (multiplicity 8)
Er (0.000, 0.000, 0.408) (multiplicity 4)
Er (0.000, 0.500, 0.500) (multiplicity 2)
In (0.000, 0.281, 0.000) (multiplicity 4)
In (0.000, 0.500, 0.222) (multiplicity 4)



A geometry-optimized Cs2KRbGa structure, computed with PBE.

**ΔE_f**: 134 meV per atom
**Excess energy over the best structure of this formula in the dataset**: 0 meV/atom
**Crystal system**: tetragonal

a = 7.395 Å, b = 7.395 Å, c = 7.089 Å
α = 90.00°, β = 90.00°, γ = 90.00°
Space group P4/mmm (No. 123)
One atom of each set of equivalent atoms:
Cs (0.000, 0.500, 0.000) (multiplicity 2)
K (0.000, 0.000, 0.500) (multiplicity 1)
Rb (0.500, 0.500, 0.500) (multiplicity 1)
Ga (0.000, 0.000, 0.000) (multiplicity 1)



A geometry-optimized Ca3AgSb structure, computed with PBE.

**Energy relative to the elements, uncorrected**: -0.56 eV per atom
**Excess energy over the best structure of this formula in the dataset**: 0 meV/atom
**Crystal system**: triclinic

a = 4.754 Å, b = 7.875 Å, c = 9.185 Å
α = 82.89°, β = 75.04°, γ = 89.97°
Space group P-1 (No. 2)
One atom of each set of equivalent atoms:
Ca (0.028, 0.276, 0.443) (multiplicity 2)
Ca (0.193, 0.623, 0.115) (multiplicity 2)
Ca (0.356, 0.021, 0.788) (multiplicity 2)
Ag (0.428, 0.405, 0.642) (multiplicity 2)
Sb (0.204, 0.219, 0.091) (multiplicity 2)



A geometry-optimized Na2CaAlBi2 structure, computed with PBE.

**ΔE_f**: -381 meV per atom
**Crystal system**: orthorhombic

a = 5.131 Å, b = 9.163 Å, c = 7.577 Å
α = 90.00°, β = 90.00°, γ = 90.00°
Space group Pmc2_1 (No. 26)
One atom of each set of equivalent atoms:
Na (0.000, 0.067, 0.000) (multiplicity 2)
Na (0.500, 0.153, 0.311) (multiplicity 2)
Ca (0.500, 0.473, 0.996) (multiplicity 2)
Al (0.000, 0.323, 0.655) (multiplicity 2)
Bi (0.000, 0.365, 0.266) (multiplicity 2)
Bi (0.500, 0.190, 0.735) (multiplicity 2)



A geometry-optimized AlTeW2 structure, computed with PBE.

**Energy relative to the elements, uncorrected**: 0.53 eV per atom
**Excess energy over the best structure of this formula in the dataset**: 234 meV/atom
**Crystal system**: monoclinic

a = 4.782 Å, b = 3.199 Å, c = 4.911 Å
α = 90.00°, β = 111.53°, γ = 90.00°
Space group P2/m (No. 10)
One atom of each set of equivalent atoms:
Al (0.000, 0.000, 0.000) (multiplicity 1)
Te (0.500, 0.500, 0.000) (multiplicity 1)
W (0.000, 0.500, 0.500) (multiplicity 1)
W (0.500, 0.000, 0.500) (multiplicity 1)



A geometry-optimized BaCeTlBr6 structure, computed with PBE.

**Energy relative to the elements, uncorrected**: -1.72 eV per atom
**Crystal system**: trigonal

a = 8.1091 Å, b = 8.1091 Å, c = 13.7580 Å
α = 90.00°, β = 90.00°, γ = 120.00°
Space group P-31c (No. 163)
One atom of each set of equivalent atoms:
Ba (0.3333, 0.6667, 0.2500) (multiplicity 2)
Ce (0.3333, 0.6667, 0.7500) (multiplicity 2)
Tl (0.0000, 0.0000, 0.0000) (multiplicity 2)
Br (0.0298, 0.3731, 0.6298) (multiplicity 12)



A geometry-optimized YErZnNi structure, computed with PBE.

**ΔE_f**: -384 meV per atom
**Excess energy over the best structure of this formula in the dataset**: 0 meV/atom
**Crystal system**: tetragonal

a = 3.454 Å, b = 3.454 Å, c = 6.955 Å
α = 90.00°, β = 90.00°, γ = 90.00°
Space group P4mm (No. 99)
One atom of each set of equivalent atoms:
Y (0.000, 0.000, 0.000) (multiplicity 1)
Er (0.000, 0.000, 0.531) (multiplicity 1)
Zn (0.500, 0.500, 0.271) (multiplicity 1)
Ni (0.500, 0.500, 0.755) (multiplicity 1)



A geometry-optimized RbTlGaAu2 structure, computed with PBE.

**ΔE_f**: -72 meV per atom
**Crystal system**: tetragonal

a = 5.152 Å, b = 5.152 Å, c = 5.485 Å
α = 90.00°, β = 90.00°, γ = 90.00°
Space group P4/mmm (No. 123)
One atom of each set of equivalent atoms:
Rb (0.000, 0.000, 0.000) (multiplicity 1)
Tl (0.500, 0.500, 0.000) (multiplicity 1)
Ga (0.500, 0.500, 0.500) (multiplicity 1)
Au (0.000, 0.500, 0.500) (multiplicity 2)



A geometry-optimized CoPbBr structure, computed with PBE.

**Energy relative to the elements, uncorrected**: 0.29 eV per atom
**Excess energy over the best structure of this formula in the dataset**: 149 meV/atom
**Crystal system**: orthorhombic

a = 4.079 Å, b = 5.322 Å, c = 13.285 Å
α = 90.00°, β = 90.00°, γ = 90.00°
Space group Fmm2 (No. 42)
One atom of each set of equivalent atoms:
Co (0.000, 0.000, 0.000) (multiplicity 4)
Pb (0.000, 0.000, 0.351) (multiplicity 4)
Br (0.000, 0.000, 0.602) (multiplicity 4)



A geometry-optimized TlSnHg6 structure, computed with PBE.

**ΔE_f**: 25 meV per atom
**Crystal system**: orthorhombic

a = 5.058 Å, b = 9.262 Å, c = 9.251 Å
α = 90.00°, β = 90.00°, γ = 90.00°
Space group Amm2 (No. 38)
One atom of each set of equivalent atoms:
Tl (0.000, 0.000, 0.000) (multiplicity 2)
Sn (0.500, 0.000, 0.270) (multiplicity 2)
Hg (0.000, 0.000, 0.520) (multiplicity 2)
Hg (0.000, 0.240, 0.260) (multiplicity 4)
Hg (0.500, 0.000, 0.754) (multiplicity 2)
Hg (0.500, 0.250, 0.011) (multiplicity 4)



A geometry-optimized AlOF3 structure, computed with PBE.

**Energy relative to the elements, uncorrected**: -1.76 eV per atom
**Excess energy over the best structure of this formula in the dataset**: 858 meV/atom
**Crystal system**: tetragonal

a = 4.078 Å, b = 4.078 Å, c = 3.541 Å
α = 90.00°, β = 90.00°, γ = 90.00°
Space group P4/mmm (No. 123)
One atom of each set of equivalent atoms:
Al (0.000, 0.000, 0.000) (multiplicity 1)
O (0.500, 0.500, 0.000) (multiplicity 1)
F (0.000, 0.000, 0.500) (multiplicity 1)
F (0.000, 0.500, 0.000) (multiplicity 2)



A geometry-optimized PmErPd structure, computed with PBE.

**ΔE_f**: -525 meV per atom
**Excess energy over the best structure of this formula in the dataset**: 4 meV/atom
**Crystal system**: monoclinic

a = 12.759 Å, b = 3.579 Å, c = 7.211 Å
α = 90.00°, β = 106.89°, γ = 90.00°
Space group C2/m (No. 12)
One atom of each set of equivalent atoms:
Pm (0.139, 0.000, 0.069) (multiplicity 4)
Er (0.137, 0.000, 0.568) (multiplicity 4)
Pd (0.004, 0.500, 0.727) (multiplicity 4)



A geometry-optimized Tb2ZnGe4Pt3 structure, computed with PBE.

**ΔE_f**: -810 meV per atom
**Crystal system**: tetragonal

a = 4.174 Å, b = 4.174 Å, c = 10.792 Å
α = 90.00°, β = 90.00°, γ = 90.00°
Space group P-4m2 (No. 115)
One atom of each set of equivalent atoms:
Tb (0.000, 0.500, 0.242) (multiplicity 2)
Zn (0.500, 0.500, 0.000) (multiplicity 1)
Ge (0.000, 0.000, 0.500) (multiplicity 1)
Ge (0.000, 0.500, 0.860) (multiplicity 2)
Ge (0.500, 0.500, 0.500) (multiplicity 1)
Pt (0.000, 0.000, 0.000) (multiplicity 1)
Pt (0.000, 0.500, 0.634) (multiplicity 2)



A geometry-optimized Sb2MoCl structure, computed with PBE.

**Energy relative to the elements, uncorrected**: 0.07 eV per atom
**Excess energy over the best structure of this formula in the dataset**: 84 meV/atom
**Crystal system**: monoclinic

a = 8.240 Å, b = 3.326 Å, c = 8.547 Å
α = 90.00°, β = 109.68°, γ = 90.00°
Space group C2/m (No. 12)
One atom of each set of equivalent atoms:
Sb (0.145, 0.000, 0.328) (multiplicity 4)
Mo (0.000, 0.500, 0.500) (multiplicity 2)
Cl (0.000, 0.000, 0.000) (multiplicity 2)



A geometry-optimized CdAsAu2 structure, computed with PBE.

**ΔE_f**: 60 meV per atom
**Excess energy over the best structure of this formula in the dataset**: 52 meV/atom
**Crystal system**: tetragonal

a = 4.266 Å, b = 4.266 Å, c = 18.409 Å
α = 90.00°, β = 90.00°, γ = 90.00°
Space group I-42d (No. 122)
One atom of each set of equivalent atoms:
Cd (0.000, 0.000, 0.000) (multiplicity 4)
As (0.000, 0.000, 0.500) (multiplicity 4)
Au (0.232, 0.250, 0.625) (multiplicity 8)